First-principles (GGA-PBE) data for a geometry-optimized ScTa2Al structure, as listed in Alexandria.

Cell lengths 4.709, 4.709, 4.709 Å; angles 60.00, 60.00, 60.00 degrees
Sites, in units of the cell vectors:
Ta 0.000 0.000 0.000
Ta 0.250 0.250 0.250
Sc 0.750 0.750 0.750
Al 0.500 0.500 0.500

Computed properties:
ΔE_f ... -34 meV/atom
Total moment ... 0.0 μB per cell
Symmetry ... No. 216
Uncorrected energy ... -8.479 eV/atom



First-principles (GGA-PBE) data for a geometry-optimized CsNdAuO2 structure, as listed in Alexandria.

Cell lengths 5.468, 7.029, 6.933 Å; angles 96.18, 90.00, 90.00 degrees
Sites, in units of the cell vectors:
Au 0.000 0.000 0.000
Au 0.000 0.000 0.500
Nd 0.487 0.000 0.250
Nd 0.513 0.000 0.750
O 0.368 0.195 0.016
O 0.632 0.805 0.984
O 0.632 0.195 0.516
O 0.368 0.805 0.484
Cs 0.208 0.500 0.750
Cs 0.792 0.500 0.250

Computed properties:
Energy relative to the elements, uncorrected ... -1577 meV per atom
Total moment ... 0.0 μB per cell
Symmetry ... No. 13
Uncorrected energy ... -5.340 eV/atom



First-principles (GGA-PBE) data for a geometry-optimized Ac2NpAl9 structure, as listed in Alexandria.

Cell lengths 5.740, 5.740, 9.678 Å; angles 72.75, 72.75, 60.00 degrees
Sites, in units of the cell vectors:
Al 0.500 0.500 0.500
Al 0.581 0.074 0.765
Al 0.926 0.419 0.235
Al 0.419 0.926 0.235
Al 0.334 0.334 0.997
Al 0.581 0.581 0.765
Al 0.666 0.666 0.003
Al 0.419 0.419 0.235
Al 0.074 0.581 0.765
Np 0.000 0.000 0.000
Ac 0.140 0.140 0.581
Ac 0.860 0.860 0.419

Computed properties:
ΔE_f ... -171 meV/atom
Total moment ... 4.4 μB per cell
Symmetry ... No. 166
Uncorrected energy ... -4.741 eV/atom



First-principles (GGA-PBE) data for a geometry-optimized Rb2PH structure, as listed in Alexandria.

Cell lengths 5.682, 5.682, 5.682 Å; angles 60.00, 60.00, 60.00 degrees
Sites, in units of the cell vectors:
P 0.500 0.500 0.500
H 0.000 0.000 0.000
Rb 0.750 0.750 0.750
Rb 0.250 0.250 0.250

Computed properties:
Energy above the lowest structure with this stoichiometry ... 2.13 eV per formula unit
Total moment ... 2.0 μB per cell
Symmetry ... No. 225
Uncorrected energy ... -2.345 eV/atom



First-principles (GGA-PBE) data for a geometry-optimized Al4PbCl structure, as listed in Alexandria.

Cell lengths 5.688, 5.688, 5.688 Å; angles 60.00, 60.00, 60.00 degrees
Sites, in units of the cell vectors:
Al 0.375 0.874 0.375
Al 0.375 0.375 0.375
Al 0.874 0.375 0.375
Al 0.375 0.375 0.874
Pb 0.000 0.000 0.000
Cl 0.750 0.750 0.750

Computed properties:
Energy relative to the elements, uncorrected ... 115 meV per atom
Total moment ... 0.0 μB per cell
Symmetry ... No. 216
Uncorrected energy ... -3.306 eV/atom



First-principles (GGA-PBE) data for a geometry-optimized TmThReAg structure, as listed in Alexandria.

Cell lengths 5.041, 5.041, 5.041 Å; angles 60.00, 60.00, 60.00 degrees
Sites, in units of the cell vectors:
Th 0.750 0.750 0.750
Tm 0.250 0.250 0.250
Re 0.000 0.000 0.000
Ag 0.500 0.500 0.500

Computed properties:
ΔE_f ... -39 meV/atom
Total moment ... 0.0 μB per cell
Symmetry ... No. 216
Uncorrected energy ... -6.836 eV/atom



First-principles (GGA-PBE) data for a geometry-optimized SrLa3Ir structure, as listed in Alexandria.

Cell lengths 4.061, 10.638, 10.638 Å; angles 138.97, 90.00, 90.00 degrees
Sites, in units of the cell vectors:
La 0.500 0.672 0.835
La 0.500 0.165 0.328
La 0.000 0.278 0.722
Ir 0.000 0.414 0.586
Sr 0.500 0.098 0.902

Computed properties:
ΔE_f ... 245 meV/atom
Energy above the lowest structure with this stoichiometry ... 2.84 eV per formula unit
Total moment ... 1.0 μB per cell
Symmetry ... No. 38
Uncorrected energy ... -4.820 eV/atom



First-principles (GGA-PBE) data for a geometry-optimized HoNi4Sb structure, as listed in Alexandria.

Cell lengths 4.991, 4.991, 4.991 Å; angles 60.00, 60.00, 60.00 degrees
Sites, in units of the cell vectors:
Ni 0.625 0.124 0.625
Ni 0.625 0.625 0.625
Ni 0.124 0.625 0.625
Ni 0.625 0.625 0.124
Ho 0.000 0.000 0.000
Sb 0.250 0.250 0.250

Computed properties:
Energy above the lowest structure with this stoichiometry ... 0.00 eV per formula unit
Energy relative to the elements, uncorrected ... -351 meV per atom
Total moment ... 0.0 μB per cell
Symmetry ... No. 216
Uncorrected energy ... -5.655 eV/atom



First-principles (GGA-PBE) data for a geometry-optimized YTcPt2 structure, as listed in Alexandria.

Cell lengths 3.456, 3.456, 6.182 Å; angles 90.00, 90.00, 90.00 degrees
Sites, in units of the cell vectors:
Pt 0.500 0.500 0.273
Pt 0.000 0.000 0.015
Y 0.500 0.500 0.763
Tc 0.000 0.000 0.449

Computed properties:
ΔE_f ... -285 meV/atom
Energy above the lowest structure with this stoichiometry ... 0.64 eV per formula unit
Total moment ... 1.1 μB per cell
Symmetry ... No. 99
Uncorrected energy ... -7.513 eV/atom



First-principles (GGA-PBE) data for a geometry-optimized CaMg2GaCo structure, as listed in Alexandria.

Cell lengths 4.839, 4.637, 4.839 Å; angles 90.00, 90.00, 90.00 degrees
Sites, in units of the cell vectors:
Ga 0.000 0.500 0.000
Mg 0.000 0.000 0.500
Mg 0.500 0.000 0.000
Ca 0.500 0.500 0.500
Co 0.000 0.000 0.000

Computed properties:
ΔE_f ... -113 meV/atom
Total moment ... 0.0 μB per cell
Symmetry ... No. 123
Uncorrected energy ... -3.177 eV/atom



First-principles (GGA-PBE) data for a geometry-optimized BaDyThN3 structure, as listed in Alexandria.

Cell lengths 3.689, 7.617, 9.888 Å; angles 91.19, 90.00, 90.00 degrees
Sites, in units of the cell vectors:
Th 0.750 0.379 0.870
Th 0.250 0.621 0.130
N 0.250 0.862 0.563
N 0.250 0.598 0.901
N 0.750 0.138 0.437
N 0.750 0.809 0.194
N 0.250 0.191 0.806
N 0.750 0.402 0.099
Dy 0.250 0.156 0.569
Dy 0.750 0.844 0.431
Ba 0.750 0.864 0.799
Ba 0.250 0.136 0.201

Computed properties:
Energy relative to the elements, uncorrected ... -1142 meV per atom
Total moment ... 0.0 μB per cell
Symmetry ... No. 11
Uncorrected energy ... -7.629 eV/atom



First-principles (GGA-PBE) data for a geometry-optimized TmBeAlPt2 structure, as listed in Alexandria.

Cell lengths 3.768, 3.768, 6.540 Å; angles 106.75, 106.75, 90.00 degrees
Sites, in units of the cell vectors:
Tm 0.000 0.000 0.000
Pt 0.383 0.383 0.766
Pt 0.617 0.617 0.234
Al 0.750 0.250 0.500
Be 0.250 0.750 0.500

Computed properties:
ΔE_f ... -988 meV/atom
Total moment ... 0.0 μB per cell
Symmetry ... No. 119
Uncorrected energy ... -5.792 eV/atom



First-principles (GGA-PBE) data for a geometry-optimized BiPtW3 structure, as listed in Alexandria.

Cell lengths 4.939, 4.939, 4.939 Å; angles 90.00, 90.00, 90.00 degrees
Sites, in units of the cell vectors:
W 0.000 0.500 0.000
W 0.500 0.000 0.000
W 0.000 0.000 0.500
Bi 0.000 0.000 0.000
Pt 0.500 0.500 0.500

Computed properties:
ΔE_f ... 3253 meV/atom
Energy above the lowest structure with this stoichiometry ... 6.56 eV per formula unit
Total moment ... 0.0 μB per cell
Symmetry ... No. 221
Uncorrected energy ... -6.503 eV/atom



First-principles (GGA-PBE) data for a geometry-optimized Cs3K5Br12 structure, as listed in Alexandria.

Cell lengths 17.401, 17.401, 17.401 Å; angles 109.47, 109.47, 109.47 degrees
Sites, in units of the cell vectors:
K 0.500 0.000 0.000
K 0.125 0.750 0.375
K 0.375 0.125 0.750
K 0.500 0.500 0.500
K 0.000 0.000 0.000
K 0.375 0.250 0.125
K 0.625 0.875 0.250
K 0.500 0.000 0.500
K 0.750 0.125 0.875
K 0.875 0.250 0.625
K 0.625 0.750 0.875
K 0.000 0.500 0.500
K 0.125 0.375 0.250
K 0.750 0.625 0.375
K 0.875 0.625 0.750
K 0.000 0.500 0.000
K 0.500 0.500 0.000
K 0.250 0.375 0.625
K 0.250 0.875 0.125
K 0.000 0.000 0.500
Br 0.561 0.321 0.913
Br 0.939 0.352 0.260
Br 0.913 0.092 0.852
Br 0.821 0.913 0.061
Br 0.413 0.061 0.321
Br 0.679 0.240 0.592
Br 0.740 0.592 0.179
Br 0.648 0.061 0.240
Br 0.587 0.648 0.408
Br 0.092 0.179 0.240
Br 0.939 0.587 0.179
Br 0.592 0.740 0.679
Br 0.260 0.408 0.821
Br 0.908 0.821 0.760
Br 0.179 0.092 0.740
Br 0.760 0.439 0.352
Br 0.061 0.648 0.740
Br 0.148 0.408 0.087
Br 0.648 0.587 0.908
Br 0.260 0.852 0.939
Br 0.408 0.148 0.587
Br 0.821 0.908 0.260
Br 0.352 0.939 0.760
Br 0.087 0.908 0.148
Br 0.852 0.592 0.913
Br 0.408 0.260 0.321
Br 0.092 0.913 0.352
Br 0.908 0.087 0.648
Br 0.321 0.561 0.413
Br 0.321 0.760 0.408
Br 0.439 0.679 0.087
Br 0.852 0.260 0.439
Br 0.240 0.679 0.092
Br 0.439 0.760 0.852
Br 0.913 0.821 0.561
Br 0.679 0.439 0.587
Br 0.148 0.740 0.561
Br 0.413 0.352 0.592
Br 0.240 0.561 0.648
Br 0.587 0.939 0.679
Br 0.561 0.240 0.148
Br 0.352 0.413 0.092
Br 0.179 0.087 0.939
Br 0.740 0.148 0.061
Br 0.760 0.321 0.908
Br 0.061 0.413 0.821
Br 0.592 0.852 0.413
Br 0.087 0.179 0.439
Cs 0.375 0.750 0.625
Cs 0.375 0.625 0.250
Cs 0.625 0.250 0.375
Cs 0.125 0.250 0.875
Cs 0.250 0.625 0.875
Cs 0.875 0.750 0.125
Cs 0.125 0.875 0.750
Cs 0.250 0.125 0.375
Cs 0.875 0.125 0.250
Cs 0.625 0.375 0.750
Cs 0.750 0.875 0.625
Cs 0.750 0.375 0.125

Computed properties:
Energy relative to the elements, uncorrected ... -1187 meV per atom
Total moment ... 16.3 μB per cell
Symmetry ... No. 230
Uncorrected energy ... -2.593 eV/atom



First-principles (GGA-PBE) data for a geometry-optimized LaGdCdOs structure, as listed in Alexandria.

Cell lengths 5.169, 5.169, 5.169 Å; angles 60.00, 60.00, 60.00 degrees
Sites, in units of the cell vectors:
Os 0.500 0.500 0.500
Gd 0.250 0.250 0.250
La 0.750 0.750 0.750
Cd 0.000 0.000 0.000

Computed properties:
ΔE_f ... -95 meV/atom
Total moment ... 7.0 μB per cell
Symmetry ... No. 216
Uncorrected energy ... -7.883 eV/atom



First-principles (GGA-PBE) data for a geometry-optimized LiTm3Sn2 structure, as listed in Alexandria.

Cell lengths 6.278, 6.248, 9.179 Å; angles 109.90, 110.00, 90.00 degrees
Sites, in units of the cell vectors:
Sn 0.625 0.868 0.736
Sn 0.375 0.132 0.264
Sn 0.889 0.632 0.264
Sn 0.111 0.368 0.736
Tm 0.578 0.324 0.648
Tm 0.500 0.250 0.000
Tm 0.422 0.676 0.352
Tm 0.930 0.176 0.352
Tm 0.500 0.750 0.000
Tm 0.070 0.824 0.648
Li 0.000 0.750 0.000
Li 0.000 0.250 0.000

Computed properties:
ΔE_f ... -489 meV/atom
Total moment ... 3.6 μB per cell
Symmetry ... No. 72
Uncorrected energy ... -4.378 eV/atom



First-principles (GGA-PBE) data for a geometry-optimized PmAlTc structure, as listed in Alexandria.

Cell lengths 3.462, 3.462, 5.663 Å; angles 107.80, 107.80, 90.00 degrees
Sites, in units of the cell vectors:
Tc 0.986 0.986 0.972
Pm 0.289 0.289 0.577
Al 0.575 0.575 0.151

Computed properties:
ΔE_f ... -128 meV/atom
Energy above the lowest structure with this stoichiometry ... 0.63 eV per formula unit
Total moment ... 0.0 μB per cell
Symmetry ... No. 107
Uncorrected energy ... -6.414 eV/atom